No. 1
# AlCd3Sb

A crystal of AlCd3Sb relaxed with PBEsol (meta-GGA SCAN, Alexandria via LeMat-Bulk).

Output
**Uncorrected formation energy**: 66.90 kJ/mol of atoms
**M_tot**: 0.0 μB per formula unit
**Electronic total energy**: -132.79 eV/f.u.
**Symmetry**: Pm-3m, No. 221
**Crystal system**: cubic

a = 5.498 Å, b = 5.498 Å, c = 5.498 Å
α = 90.00°, β = 90.00°, γ = 90.00°
Element x y z (fractional)
Sb1 0.000 0.000 0.000
Cd1 0.000 0.500 0.000
Cd2 0.500 0.000 0.000
Cd3 0.000 0.000 0.500
Al1 0.500 0.500 0.500

=====

No. 2
# AlCdSb2

A crystal of AlCdSb2 relaxed with PBEsol (meta-GGA SCAN, Alexandria via LeMat-Bulk).

Output
**Uncorrected formation energy**: 11.87 kJ/mol of atoms
**M_tot**: 0.0 μB per formula unit
**Electronic total energy**: -112.20 eV/f.u.
**Symmetry**: P2/m, No. 10
**Crystal system**: monoclinic

a = 3.049 Å, b = 4.013 Å, c = 8.092 Å
α = 90.00°, β = 94.98°, γ = 90.00°
Element x y z (fractional)
Al1 0.500 0.500 0.500
Sb1 0.758 0.000 0.735
Sb2 0.242 0.000 0.265
Cd1 0.000 0.500 0.000